# 1
A relaxed structure of K3Na20Tl6. Source: Alexandria, functional PBE. Values from VASP.

Properties
Magnetic moment ... 0.00 μB per formula unit
Calculated formation energy ... -0.036 eV/atom

Geometry as Quantum ESPRESSO input:
```
&SYSTEM
  ibrav = 0, nat = 29, ntyp = 3
/
ATOMIC_SPECIES
K 39.10 K.upf
Na 22.99 Na.upf
Tl 204.38 Tl.upf
CELL_PARAMETERS angstrom
-8.111 -7.211 3.943
0.541 -11.249 -2.552
2.601 -7.670 8.231
ATOMIC_POSITIONS angstrom
K -3.728 -19.598 7.216
K -1.243 -6.533 2.405
K 0.000 0.000 0.000
Na -0.773 -13.572 7.407
Na 0.576 -12.763 4.126
Na -5.283 -4.697 2.568
Na -5.094 -8.619 1.678
Na 1.694 -4.995 5.361
Na -1.690 -15.167 2.602
Na 1.882 -8.918 4.471
Na -4.376 -7.371 5.438
Na 0.352 -7.326 -1.662
Na 0.907 -2.675 2.871
Na -1.135 -7.510 6.736
Na 0.189 -3.923 -0.890
Na -2.477 -9.841 -0.287
Na -2.829 -2.515 1.375
Na -1.931 -10.154 3.739
Na -4.198 -12.558 2.215
Na -3.039 -15.976 5.883
Na -3.280 -10.963 7.020
Na -5.546 -13.368 5.496
Na 1.259 -10.001 1.208
Tl 0.196 -15.855 5.225
Tl -5.166 -10.276 4.397
Tl -0.062 -10.494 6.441
Tl -3.927 -13.931 8.320
Tl -1.043 -12.200 1.302
Tl -4.909 -15.636 3.181
```


# 2
A relaxed structure of K3Na3Tl. Source: Alexandria, functional PBE. Values from VASP.

Properties
Magnetic moment ... 0.00 μB per formula unit
Calculated formation energy ... -0.011 eV/atom

Geometry as Quantum ESPRESSO input:
```
&SYSTEM
  ibrav = 0, nat = 14, ntyp = 3
/
ATOMIC_SPECIES
K 39.10 K.upf
Na 22.99 Na.upf
Tl 204.38 Tl.upf
CELL_PARAMETERS angstrom
-3.650 -3.899 7.184
6.541 -1.705 5.869
-1.660 8.893 1.971
ATOMIC_POSITIONS angstrom
K -0.115 3.465 4.889
K 3.642 2.297 7.121
K -2.411 0.994 7.902
K 3.509 -2.357 6.260
K -0.618 -3.246 6.793
K 1.346 -0.175 10.134
Na -1.057 7.063 3.588
Na -1.380 -0.203 4.072
Na 2.287 0.586 3.598
Na 2.610 3.493 10.952
Na -1.057 2.704 11.425
Na 2.288 -3.773 11.435
Tl -0.108 1.431 1.552
Tl 1.338 1.859 13.472
```


# 3
A relaxed structure of KNa5Tl. Source: Alexandria, functional PBE. Values from VASP.

Properties
Magnetic moment ... 0.00 μB per formula unit
Calculated formation energy ... -0.016 eV/atom

Geometry as Quantum ESPRESSO input:
```
&SYSTEM
  ibrav = 0, nat = 14, ntyp = 3
/
ATOMIC_SPECIES
K 39.10 K.upf
Na 22.99 Na.upf
Tl 204.38 Tl.upf
CELL_PARAMETERS angstrom
6.567 0.000 0.000
-3.284 5.831 0.396
0.000 1.772 14.218
ATOMIC_POSITIONS angstrom
K 0.000 0.000 0.000
K 0.000 0.886 7.109
Na 0.077 3.463 2.847
Na 3.126 2.896 8.225
Na -0.077 4.349 9.956
Na 1.606 0.443 3.554
Na -0.157 5.592 13.498
Na 3.441 2.010 1.116
Na 4.961 1.329 10.663
Na 3.361 3.254 4.658
Na 0.157 4.706 6.389
Na 3.206 4.140 11.766
Tl 4.949 0.443 3.554
Tl 1.618 1.329 10.663
```